--- one ---
Here is AcUSb2 after structural relaxation from Alexandria via LeMat-Bulk. Energies are from PBE.

Unit cell a=3.873 b=3.873 c=7.906 alpha=90.00 beta=90.00 gamma=90.00
Atoms (fractional coordinates):
Ac (0.000, 0.000, 0.000)
U (0.000, 0.000, 0.500)
Sb (0.500, 0.500, 0.276)
Sb (0.500, 0.500, 0.724)

Results
The density comes out at 9.9 g/cm3. The density of states at the Fermi level is 4.9 states/eV per cell. Its space group is No. 123.

--- two ---
Here is AcUSb2 after structural relaxation from Alexandria via LeMat-Bulk. Energies are from PBE.

Unit cell a=8.106 b=8.106 c=8.106 alpha=32.45 beta=32.45 gamma=32.45
Atoms (fractional coordinates):
Ac (0.000, 0.000, 0.000)
U (0.500, 0.500, 0.500)
Sb (0.242, 0.242, 0.242)
Sb (0.758, 0.758, 0.758)

Results
The density comes out at 8.6 g/cm3. The density of states at the Fermi level is 5.3 states/eV per cell. Its space group is No. 166.

--- three ---
Here is AcUSb2 after structural relaxation from Alexandria via LeMat-Bulk. Energies are from PBE.

Unit cell a=5.547 b=5.547 c=5.547 alpha=60.00 beta=60.00 gamma=60.00
Atoms (fractional coordinates):
Ac (0.000, 0.000, 0.000)
U (0.500, 0.500, 0.500)
Sb (0.250, 0.250, 0.250)
Sb (0.750, 0.750, 0.750)

Results
The density comes out at 9.7 g/cm3. The density of states at the Fermi level is 5.4 states/eV per cell. Its space group is No. 225.

Most stable: two (next structure +134 meV/atom)

--- one ---
Here is AcVSb after structural relaxation from Alexandria via LeMat-Bulk. Energies are from PBE.

Unit cell a=4.597 b=4.597 c=10.874 alpha=97.90 beta=97.90 gamma=50.20
Atoms (fractional coordinates):
Ac (0.185, 0.185, 0.162)
Ac (0.815, 0.815, 0.838)
V (0.363, 0.363, 0.538)
V (0.637, 0.637, 0.462)
Sb (0.086, 0.086, 0.641)
Sb (0.914, 0.914, 0.359)

Results
The density comes out at 7.6 g/cm3. The density of states at the Fermi level is 5.0 states/eV per cell. Its space group is No. 12.

--- two ---
Here is AcVSb after structural relaxation from Alexandria via LeMat-Bulk. Energies are from PBE.

Unit cell a=4.764 b=4.764 c=4.451 alpha=90.00 beta=90.00 gamma=120.00
Atoms (fractional coordinates):
Ac (0.000, 0.000, 0.000)
V (0.667, 0.333, 0.500)
Sb (0.333, 0.667, 0.500)

Results
The density comes out at 7.6 g/cm3. The density of states at the Fermi level is 4.6 states/eV per cell. Its space group is No. 187.

--- three ---
Here is AcVSb after structural relaxation from Alexandria via LeMat-Bulk. Energies are from PBE.

Unit cell a=6.444 b=6.444 c=6.444 alpha=146.48 beta=146.48 gamma=48.14
Atoms (fractional coordinates):
Ac (0.000, 0.000, 0.000)
V (0.302, 0.302, 0.000)
Sb (0.709, 0.709, 0.000)

Results
The density comes out at 8.2 g/cm3. The density of states at the Fermi level is 3.1 states/eV per cell. Its space group is No. 107.

Most stable: two (next structure +56 meV/atom)

--- one ---
Here is AcVSb2 after structural relaxation from Alexandria via LeMat-Bulk. Energies are from PBE.

Unit cell a=9.369 b=9.369 c=9.369 alpha=29.72 beta=29.72 gamma=29.72
Atoms (fractional coordinates):
Ac (0.000, 0.000, 0.000)
V (0.500, 0.500, 0.500)
Sb (0.403, 0.403, 0.403)
Sb (0.597, 0.597, 0.597)

Results
The density comes out at 4.8 g/cm3. The density of states at the Fermi level is 8.1 states/eV per cell. Its space group is No. 166.

--- two ---
Here is AcVSb2 after structural relaxation from Alexandria via LeMat-Bulk. Energies are from PBE.

Unit cell a=5.383 b=5.383 c=5.383 alpha=60.00 beta=60.00 gamma=60.00
Atoms (fractional coordinates):
Ac (0.000, 0.000, 0.000)
V (0.500, 0.500, 0.500)
Sb (0.250, 0.250, 0.250)
Sb (0.750, 0.750, 0.750)

Results
The density comes out at 7.9 g/cm3. The density of states at the Fermi level is 3.2 states/eV per cell. Its space group is No. 225.

Most stable: two (next structure +595 meV/atom)

--- one ---
Here is AcVSb2 after structural relaxation from Alexandria via LeMat-Bulk. Energies are from PBE.

Unit cell a=3.552 b=3.552 c=7.928 alpha=90.00 beta=90.00 gamma=90.00
Atoms (fractional coordinates):
Ac (0.000, 0.000, 0.000)
V (0.000, 0.000, 0.500)
Sb (0.500, 0.500, 0.306)
Sb (0.500, 0.500, 0.694)

Results
The density comes out at 8.7 g/cm3. The density of states at the Fermi level is 4.0 states/eV per cell. Its space group is No. 123.

--- two ---
Here is AcVSb2 after structural relaxation from Alexandria via LeMat-Bulk. Energies are from PBE.

Unit cell a=5.064 b=5.064 c=4.376 alpha=90.00 beta=90.00 gamma=90.00
Atoms (fractional coordinates):
Ac (0.000, 0.000, 0.000)
V (0.500, 0.500, 0.000)
Sb (0.000, 0.500, 0.500)
Sb (0.500, 0.000, 0.500)

Results
The density comes out at 7.7 g/cm3. The density of states at the Fermi level is 4.4 states/eV per cell. Its space group is No. 123.

Most stable: one (next structure +52 meV/atom)

--- one ---
Here is AcY2Sb after structural relaxation from Alexandria via LeMat-Bulk. Energies are from PBE.

Unit cell a=10.123 b=10.123 c=10.123 alpha=23.41 beta=23.41 gamma=23.41
Atoms (fractional coordinates):
Ac (0.000, 0.000, 0.000)
Y (0.562, 0.562, 0.562)
Y (0.769, 0.769, 0.769)
Sb (0.165, 0.165, 0.165)

Results
The density comes out at 6.1 g/cm3. The density of states at the Fermi level is 4.2 states/eV per cell. Its space group is No. 160.

--- two ---
Here is AcY2Sb after structural relaxation from Alexandria via LeMat-Bulk. Energies are from PBE.

Unit cell a=3.990 b=3.990 c=7.955 alpha=90.00 beta=90.00 gamma=90.00
Atoms (fractional coordinates):
Ac (0.000, 0.000, 0.000)
Y (0.500, 0.500, 0.297)
Y (0.500, 0.500, 0.703)
Sb (0.000, 0.000, 0.500)

Results
The density comes out at 6.9 g/cm3. The density of states at the Fermi level is 6.0 states/eV per cell. Its space group is No. 123.

Most stable: two (next structure +72 meV/atom)

--- one ---
Here is AcY2Sb after structural relaxation from Alexandria via LeMat-Bulk. Energies are from PBE.

Unit cell a=10.176 b=10.176 c=10.176 alpha=23.14 beta=23.14 gamma=23.14
Atoms (fractional coordinates):
Ac (0.000, 0.000, 0.000)
Y (0.230, 0.230, 0.230)
Y (0.770, 0.770, 0.770)
Sb (0.500, 0.500, 0.500)

Results
The density comes out at 6.1 g/cm3. The density of states at the Fermi level is 4.0 states/eV per cell. Its space group is No. 166.

--- two ---
Here is AcY2Sb after structural relaxation from Alexandria via LeMat-Bulk. Energies are from PBE.

Unit cell a=5.020 b=5.020 c=4.884 alpha=90.00 beta=90.00 gamma=90.00
Atoms (fractional coordinates):
Ac (0.000, 0.000, 0.000)
Y (0.000, 0.500, 0.500)
Y (0.500, 0.000, 0.500)
Sb (0.500, 0.500, 0.000)

Results
The density comes out at 7.1 g/cm3. The density of states at the Fermi level is 4.9 states/eV per cell. Its space group is No. 123.

Most stable: two (next structure +22 meV/atom)

--- one ---
Here is AcZnSb after structural relaxation from Alexandria via LeMat-Bulk. Energies are from PBE.

Unit cell a=5.060 b=5.060 c=5.060 alpha=60.00 beta=60.00 gamma=60.00
Atoms (fractional coordinates):
Ac (0.000, 0.000, 0.000)
Zn (0.750, 0.750, 0.750)
Sb (0.500, 0.500, 0.500)

Results
The density comes out at 7.5 g/cm3. The density of states at the Fermi level is 2.1 states/eV per cell. Its space group is No. 216.

--- two ---
Here is AcZnSb after structural relaxation from Alexandria via LeMat-Bulk. Energies are from PBE.

Unit cell a=6.225 b=6.225 c=6.225 alpha=143.12 beta=143.12 gamma=53.15
Atoms (fractional coordinates):
Ac (0.000, 0.000, 0.000)
Zn (0.686, 0.686, 0.000)
Sb (0.303, 0.303, 0.000)

Results
The density comes out at 8.0 g/cm3. The density of states at the Fermi level is 2.3 states/eV per cell. Its space group is No. 107.

--- three ---
Here is AcZnSb after structural relaxation from Alexandria via LeMat-Bulk. Energies are from PBE.

Unit cell a=4.603 b=4.603 c=4.765 alpha=90.00 beta=90.00 gamma=120.00
Atoms (fractional coordinates):
Ac (0.000, 0.000, 0.000)
Zn (0.333, 0.667, 0.358)
Sb (0.667, 0.333, 0.534)

Results
The density comes out at 7.9 g/cm3. The density of states at the Fermi level is 0.1 states/eV per cell. Its space group is No. 156.

Most stable: three (next structure +231 meV/atom)

--- one ---
Here is AcZrSb2 after structural relaxation from Alexandria via LeMat-Bulk. Energies are from PBE.

Unit cell a=10.007 b=10.007 c=10.007 alpha=25.76 beta=25.76 gamma=25.76
Atoms (fractional coordinates):
Ac (0.000, 0.000, 0.000)
Zr (0.500, 0.500, 0.500)
Sb (0.406, 0.406, 0.406)
Sb (0.594, 0.594, 0.594)

Results
The density comes out at 5.6 g/cm3. The density of states at the Fermi level is 3.5 states/eV per cell. Its space group is No. 166.

--- two ---
Here is AcZrSb2 after structural relaxation from Alexandria via LeMat-Bulk. Energies are from PBE.

Unit cell a=5.439 b=5.439 c=5.439 alpha=60.00 beta=60.00 gamma=60.00
Atoms (fractional coordinates):
Ac (0.000, 0.000, 0.000)
Zr (0.500, 0.500, 0.500)
Sb (0.250, 0.250, 0.250)
Sb (0.750, 0.750, 0.750)

Results
The density comes out at 8.2 g/cm3. The density of states at the Fermi level is 3.4 states/eV per cell. Its space group is No. 225.

Most stable: two (next structure +798 meV/atom)